1.
This record from Alexandria via LeMat-Bulk describes a crystal of FeTc2Os relaxed with PBEsol. The functional is SCAN. Values from VASP.

The structure in Quantum ESPRESSO input format:
```
&SYSTEM
  ibrav = 0, nat = 4, ntyp = 3
/
ATOMIC_SPECIES
Tc 98.00 Tc.upf
Os 190.23 Os.upf
Fe 55.84 Fe.upf
CELL_PARAMETERS angstrom
-0.570 2.494 -0.749
-3.862 -1.831 1.581
1.762 1.588 3.947
ATOMIC_POSITIONS angstrom
Tc -2.661 2.247 4.757
Tc -1.933 1.367 1.276
Os -0.743 0.891 3.531
Fe 0.592 2.038 1.592
```

Properties
Its raw total energy is -159.793 eV per cell. The formation energy comes out at 0.3 eV/f.u. Its density of states at the Fermi level is 3.24 states/eV/f.u.

2.
This record from Alexandria via LeMat-Bulk describes a crystal of BiPAuO2 relaxed with PBEsol. The functional is SCAN. Values from VASP.

The structure in Quantum ESPRESSO input format:
```
&SYSTEM
  ibrav = 0, nat = 5, ntyp = 4
/
ATOMIC_SPECIES
O 16.00 O.upf
Bi 208.98 Bi.upf
Au 196.97 Au.upf
P 30.97 P.upf
CELL_PARAMETERS angstrom
4.115 0.000 0.000
0.000 4.115 0.000
0.000 0.000 4.721
ATOMIC_POSITIONS angstrom
O 0.000 2.057 0.000
O 2.057 0.000 0.000
Bi 2.057 2.057 2.360
Au 0.000 0.000 0.000
P 0.000 0.000 2.360
```

Properties
Its raw total energy is -169.371 eV per cell. Its density of states at the Fermi level is 1.89 states/eV/f.u.

3.
This record from Alexandria via LeMat-Bulk describes a crystal of PrCuW2O8 relaxed with PBEsol. The functional is SCAN. Values from VASP.

The structure in Quantum ESPRESSO input format:
```
&SYSTEM
  ibrav = 0, nat = 12, ntyp = 4
/
ATOMIC_SPECIES
O 16.00 O.upf
Cu 63.55 Cu.upf
Pr 140.91 Pr.upf
W 183.84 W.upf
CELL_PARAMETERS angstrom
4.979 0.005 0.001
-2.201 5.616 -0.022
-0.258 -2.264 5.846
ATOMIC_POSITIONS angstrom
O -0.463 -0.440 3.854
O 2.984 3.798 1.972
O 1.720 -0.811 5.358
O 2.076 0.054 2.792
O 0.801 4.168 0.468
O -1.806 2.482 4.492
O 4.327 0.875 1.333
O 0.445 3.304 3.034
Cu 1.260 1.679 2.913
Pr -1.100 2.808 -0.011
W 3.629 -0.640 1.970
W -1.108 3.998 3.856
```

Properties
Its raw total energy is -276.381 eV per cell.

4.
This record from Alexandria via LeMat-Bulk describes a crystal of HgOsO3 relaxed with PBEsol. The functional is SCAN. Values from VASP.

The structure in Quantum ESPRESSO input format:
```
&SYSTEM
  ibrav = 0, nat = 5, ntyp = 3
/
ATOMIC_SPECIES
O 16.00 O.upf
Os 190.23 Os.upf
Hg 200.59 Hg.upf
CELL_PARAMETERS angstrom
-0.462 -2.441 -3.286
3.960 -1.105 0.265
-1.038 -3.129 2.470
ATOMIC_POSITIONS angstrom
O -0.519 -1.564 1.235
O -0.231 -1.220 -1.643
O 1.980 -0.553 0.132
Os 1.230 -3.338 -0.276
Hg 0.000 0.000 0.000
```

Properties
Its raw total energy is -151.665 eV per cell. Its density of states at the Fermi level is 2.98 states/eV/f.u.

5.
This record from Alexandria via LeMat-Bulk describes a crystal of DyCuSe2 relaxed with PBEsol. The functional is SCAN. Values from VASP.

The structure in Quantum ESPRESSO input format:
```
&SYSTEM
  ibrav = 0, nat = 4, ntyp = 3
/
ATOMIC_SPECIES
Se 78.96 Se.upf
Cu 63.55 Cu.upf
Dy 162.50 Dy.upf
CELL_PARAMETERS angstrom
4.028 0.000 0.000
-2.014 3.489 0.000
0.000 0.000 6.303
ATOMIC_POSITIONS angstrom
Se 2.014 1.163 4.827
Se 0.000 2.326 1.572
Cu 0.000 2.326 5.467
Dy 0.000 0.000 3.097
```

Properties
Its raw total energy is -108.580 eV per cell.

6.
This record from Alexandria via LeMat-Bulk describes a crystal of CrNi2Os relaxed with PBEsol. The functional is SCAN. Values from VASP.

The structure in Quantum ESPRESSO input format:
```
&SYSTEM
  ibrav = 0, nat = 4, ntyp = 3
/
ATOMIC_SPECIES
Cr 52.00 Cr.upf
Ni 58.69 Ni.upf
Os 190.23 Os.upf
CELL_PARAMETERS angstrom
2.553 0.000 0.000
0.000 4.069 0.000
0.000 0.000 4.428
ATOMIC_POSITIONS angstrom
Cr 1.277 2.035 0.940
Ni 0.000 2.035 3.212
Ni 0.000 0.000 0.134
Os 1.277 0.000 2.356
```

Properties
Its raw total energy is -122.313 eV per cell. The formation energy comes out at 0.3 eV/f.u. Its density of states at the Fermi level is 3.96 states/eV/f.u.

7.
This record from Alexandria via LeMat-Bulk describes a crystal of AlCu2Au relaxed with PBEsol. The functional is SCAN. Values from VASP.

The structure in Quantum ESPRESSO input format:
```
&SYSTEM
  ibrav = 0, nat = 4, ntyp = 3
/
ATOMIC_SPECIES
Au 196.97 Au.upf
Cu 63.55 Cu.upf
Al 26.98 Al.upf
CELL_PARAMETERS angstrom
3.118 0.000 0.000
0.000 3.118 0.000
0.000 0.000 5.547
ATOMIC_POSITIONS angstrom
Au 1.559 1.559 2.774
Cu 0.000 0.000 4.264
Cu 0.000 0.000 1.283
Al 1.559 1.559 0.000
```

Properties
Its raw total energy is -108.405 eV per cell. The formation energy comes out at -1.1 eV/f.u. Its density of states at the Fermi level is 1.09 states/eV/f.u.

8.
This record from Alexandria via LeMat-Bulk describes a crystal of LiMnSe2 relaxed with PBEsol. The functional is SCAN. Values from VASP.

The structure in Quantum ESPRESSO input format:
```
&SYSTEM
  ibrav = 0, nat = 8, ntyp = 3
/
ATOMIC_SPECIES
Li 6.94 Li.upf
Se 78.96 Se.upf
Mn 54.94 Mn.upf
CELL_PARAMETERS angstrom
-4.981 2.942 -0.603
-1.804 -3.865 -3.954
1.158 -2.516 6.208
ATOMIC_POSITIONS angstrom
Li -3.607 -0.018 1.663
Li -3.392 -0.461 -2.279
Se -3.038 -2.977 -2.120
Se -4.864 0.566 -0.473
Se -3.415 -2.556 1.713
Se 0.064 -1.910 4.180
Mn -2.019 -3.421 -0.013
Mn 0.000 0.000 0.000
```

Properties
Its raw total energy is -129.014 eV per cell. Its density of states at the Fermi level is 1.34 states/eV/f.u.

9.
This record from Alexandria via LeMat-Bulk describes a crystal of ScAl2In relaxed with PBEsol. The functional is SCAN. Values from VASP.

The structure in Quantum ESPRESSO input format:
```
&SYSTEM
  ibrav = 0, nat = 4, ntyp = 3
/
ATOMIC_SPECIES
Al 26.98 Al.upf
In 114.82 In.upf
Sc 44.96 Sc.upf
CELL_PARAMETERS angstrom
3.235 0.000 0.000
0.000 4.132 0.000
0.000 0.000 5.882
ATOMIC_POSITIONS angstrom
Al 0.000 0.000 4.326
Al 0.000 0.000 1.556
In 1.617 2.066 0.000
Sc 1.617 2.066 2.941
```

Properties
Its raw total energy is -63.887 eV per cell. The formation energy comes out at -0.8 eV/f.u. Its density of states at the Fermi level is 2.03 states/eV/f.u.

10.
This record from Alexandria via LeMat-Bulk describes a crystal of Nd2NCl3 relaxed with PBEsol. The functional is SCAN. Values from VASP.

The structure in Quantum ESPRESSO input format:
```
&SYSTEM
  ibrav = 0, nat = 24, ntyp = 3
/
ATOMIC_SPECIES
Cl 35.45 Cl.upf
Nd 144.24 Nd.upf
N 14.01 N.upf
CELL_PARAMETERS angstrom
6.189 0.000 0.000
0.000 6.785 0.000
0.000 0.000 13.365
ATOMIC_POSITIONS angstrom
Cl 5.538 0.945 10.457
Cl 3.745 0.945 2.909
Cl 2.444 2.447 9.591
Cl 4.642 3.409 0.000
Cl 0.651 5.840 2.909
Cl 0.651 2.447 3.774
Cl 2.444 5.840 10.457
Cl 5.538 4.338 9.591
Cl 1.547 3.376 0.000
Cl 4.642 0.017 6.683
Cl 3.745 4.338 3.774
Cl 1.547 6.768 6.683
Nd 6.155 1.203 1.238
Nd 6.155 4.596 5.445
Nd 3.060 5.582 1.238
Nd 3.129 4.596 7.920
Nd 0.034 5.582 12.127
Nd 3.129 1.203 12.127
Nd 0.034 2.189 7.920
Nd 3.060 2.189 5.445
N 1.547 0.047 0.000
N 4.642 3.345 6.683
N 4.642 6.738 0.000
N 1.547 3.440 6.683
```

Properties
Its raw total energy is -539.167 eV per cell. Its density of states at the Fermi level is 0.00 states/eV/f.u.

11.
This record from Alexandria via LeMat-Bulk describes a crystal of GdGePt relaxed with PBEsol. The functional is SCAN. Values from VASP.

The structure in Quantum ESPRESSO input format:
```
&SYSTEM
  ibrav = 0, nat = 12, ntyp = 3
/
ATOMIC_SPECIES
Ge 72.64 Ge.upf
Gd 157.25 Gd.upf
Pt 195.08 Pt.upf
CELL_PARAMETERS angstrom
4.360 0.000 0.000
0.000 7.010 0.000
0.000 0.000 7.546
ATOMIC_POSITIONS angstrom
Ge 1.090 2.188 0.658
Ge 3.270 1.317 4.431
Ge 3.270 4.822 6.889
Ge 1.090 5.694 3.115
Gd 1.090 6.985 6.015
Gd 1.090 3.479 5.305
Gd 3.270 0.026 1.532
Gd 3.270 3.531 2.241
Pt 3.270 5.581 4.415
Pt 1.090 1.430 3.131
Pt 1.090 4.935 0.642
Pt 3.270 2.075 6.904
```

Properties
Its raw total energy is -607.885 eV per cell. The formation energy comes out at -3.9 eV/f.u. Its density of states at the Fermi level is 1.39 states/eV/f.u.

12.
This record from Alexandria via LeMat-Bulk describes a crystal of MnPO4 relaxed with PBEsol. The functional is SCAN. Values from VASP.

The structure in Quantum ESPRESSO input format:
```
&SYSTEM
  ibrav = 0, nat = 36, ntyp = 3
/
ATOMIC_SPECIES
Mn 54.94 Mn.upf
P 30.97 P.upf
O 16.00 O.upf
CELL_PARAMETERS angstrom
8.781 -0.021 -0.034
-2.764 8.334 -0.034
-2.764 -3.820 7.408
ATOMIC_POSITIONS angstrom
Mn 3.192 1.479 0.586
Mn -1.141 2.985 1.584
Mn 2.040 5.755 4.212
Mn 0.440 2.293 7.040
Mn 0.407 -1.067 3.379
Mn 4.829 2.052 5.243
P -3.852 5.181 5.222
P 6.126 5.579 0.558
P 3.394 0.110 3.296
P 1.680 4.126 1.597
P 3.385 -2.942 6.989
P -0.956 1.454 4.400
O 3.392 5.044 5.251
O 1.955 4.909 0.292
O 0.170 4.256 1.925
O -3.209 3.773 5.191
O 1.204 3.967 6.881
O -0.568 1.914 2.987
O -3.452 5.894 3.911
O -2.484 1.241 4.505
O 1.842 -3.028 7.028
O -2.032 6.386 1.753
O -0.263 0.093 4.666
O 1.878 0.020 3.064
O -0.640 -2.349 6.485
O 3.661 0.719 4.687
O 3.731 2.495 6.662
O 2.510 4.681 2.771
O 6.701 1.531 0.856
O -0.462 2.491 5.429
O 3.765 -2.139 5.721
O 4.587 5.473 0.696
O 1.996 2.634 1.411
O 3.990 1.036 2.204
O 4.052 -1.282 3.154
O 6.678 4.136 0.499
```

Properties
Its raw total energy is -402.978 eV per cell. Its density of states at the Fermi level is 0.00 states/eV/f.u.